1.
A plane-wave DFT calculation with GGA-PBEsol was carried out for crystalline Y2Se3 at its relaxed geometry.

Results
Space-group type = I-42d, No. 122

a b c (Å): 8.545 8.545 14.182
angles (deg): 107.53 107.53 90.00
Atoms (fractional coordinates):
Se: 0.807 0.404 0.967
Se: 0.254 0.507 0.367
Se: 0.468 0.576 0.792
Se: 0.782 0.534 0.708
Se: 0.160 0.563 0.967
Se: 0.137 0.243 0.133
Se: 0.110 0.863 0.867
Se: 0.466 0.074 0.292
Se: 0.826 0.218 0.292
Se: 0.113 0.860 0.367
Se: 0.784 0.532 0.208
Se: 0.596 0.840 0.033
Se: 0.757 0.004 0.867
Se: 0.926 0.174 0.708
Se: 0.996 0.890 0.133
Se: 0.813 0.910 0.467
Se: 0.437 0.193 0.033
Se: 0.324 0.216 0.792
Se: 0.654 0.557 0.467
Se: 0.140 0.746 0.633
Se: 0.443 0.187 0.533
Se: 0.424 0.676 0.208
Se: 0.090 0.346 0.533
Se: 0.493 0.887 0.633
Y: 0.417 0.917 0.834
Y: 0.507 0.375 0.250
Y: 0.093 0.218 0.921
Y: 0.625 0.257 0.750
Y: 0.298 0.907 0.079
Y: 0.083 0.583 0.166
Y: 0.423 0.532 0.579
Y: 0.833 0.833 0.666
Y: 0.157 0.048 0.579
Y: 0.468 0.843 0.421
Y: 0.952 0.577 0.421
Y: 0.743 0.875 0.250
Y: 0.167 0.167 0.334
Y: 0.125 0.493 0.750
Y: 0.782 0.173 0.079
Y: 0.827 0.702 0.921

2.
A plane-wave DFT calculation with GGA-PBEsol was carried out for crystalline Y2Se at its relaxed geometry.

Results
Space-group type = Cmcm, No. 63

a b c (Å): 3.833 5.709 7.566
angles (deg): 90.00 104.67 90.00
Atoms (fractional coordinates):
Se: 0.805 0.750 0.610
Se: 0.195 0.250 0.390
Y: 0.838 0.250 0.676
Y: 0.445 0.750 0.890
Y: 0.555 0.250 0.110
Y: 0.162 0.750 0.324

3.
A plane-wave DFT calculation with GGA-PBEsol was carried out for crystalline Y2Se at its relaxed geometry.

Results
Space-group type = I4_1/amd, No. 141

a b c (Å): 5.548 5.548 6.691
angles (deg): 114.49 114.49 90.00
Atoms (fractional coordinates):
Y: 0.006 0.506 0.012
Y: 0.756 0.756 0.512
Y: 0.494 0.994 0.988
Y: 0.244 0.244 0.488
Se: 0.750 0.250 0.500
Se: 0.500 0.500 0.000

4.
A plane-wave DFT calculation with GGA-PBEsol was carried out for crystalline Y4Se at its relaxed geometry.

Results
Space-group type = Im-3m, No. 229

a b c (Å): 5.762 5.762 5.762
angles (deg): 109.47 109.47 109.47
Last column: magnetic moment on the atom in μB.
Atoms (fractional coordinates):
Y: 0.000 0.000 0.500  0.23
Y: 0.000 0.500 0.000  0.23
Y: 0.500 0.500 0.500  0.23
Y: 0.500 0.000 0.000  0.23
Se: 0.000 0.000 0.000  0.00

5.
A plane-wave DFT calculation with GGA-PBEsol was carried out for crystalline Y2Se at its relaxed geometry.

Results
Space-group type = C2/m, No. 12

a b c (Å): 3.704 6.534 7.072
angles (deg): 110.46 105.18 90.00
Atoms (fractional coordinates):
Se: 0.371 0.941 0.742
Se: 0.629 0.059 0.258
Y: 0.707 0.704 0.414
Y: 0.986 0.737 0.973
Y: 0.293 0.296 0.586
Y: 0.014 0.263 0.027

6.
A plane-wave DFT calculation with GGA-PBEsol was carried out for crystalline Y3Se2 at its relaxed geometry.

Results
Space-group type = P-3m1, No. 164

a b c (Å): 3.859 3.859 9.837
angles (deg): 90.00 90.00 120.00
Atoms (fractional coordinates):
Y: 0.667 0.333 0.643
Y: 0.333 0.667 0.357
Y: 0.000 0.000 0.000
Se: 0.667 0.333 0.176
Se: 0.333 0.667 0.824

7.
A plane-wave DFT calculation with GGA-PBEsol was carried out for crystalline Y2Se at its relaxed geometry.

Results
Space-group type = P-3m1, No. 164

a b c (Å): 3.823 3.823 6.391
angles (deg): 90.00 90.00 120.00
Atoms (fractional coordinates):
Y: 0.333 0.667 0.275
Y: 0.667 0.333 0.725
Se: 0.000 0.000 0.000

8.
A plane-wave DFT calculation with GGA-PBEsol was carried out for crystalline Y2ZnSe at its relaxed geometry.

Results
Space-group type = Imm2, No. 44
Energy above the lowest structure with this stoichiometry = 0.88 eV/f.u.

a b c (Å): 3.571 3.735 7.736
angles (deg): 103.97 103.34 90.00
Atoms (fractional coordinates):
Y: 0.047 0.047 0.094
Y: 0.294 0.794 0.588
Zn: 0.454 0.454 0.908
Se: 0.705 0.205 0.410

9.
A plane-wave DFT calculation with GGA-PBEsol was carried out for crystalline Y2ZnSe at its relaxed geometry.

Results
Space-group type = R-3m, No. 166
Energy above the lowest structure with this stoichiometry = 0.00 eV/f.u.

a b c (Å): 3.906 3.906 7.491
angles (deg): 74.89 74.89 60.00
Atoms (fractional coordinates):
Se: 0.500 0.500 0.500
Y: 0.753 0.753 0.741
Y: 0.247 0.247 0.259
Zn: 0.000 0.000 0.000

10.
A plane-wave DFT calculation with GGA-PBEsol was carried out for crystalline Y2ZnSe at its relaxed geometry.

Results
Space-group type = P4/mmm, No. 123
Energy above the lowest structure with this stoichiometry = 0.15 eV/f.u.

a b c (Å): 4.049 4.049 5.760
angles (deg): 90.00 90.00 90.00
Atoms (fractional coordinates):
Zn: 0.000 0.000 0.000
Y: 0.000 0.000 0.500
Y: 0.500 0.500 0.000
Se: 0.500 0.500 0.500

11.
A plane-wave DFT calculation with GGA-PBEsol was carried out for crystalline ZnSe2 at its relaxed geometry.

Results
Space-group type = P6_3/mmc, No. 194

a b c (Å): 3.746 3.746 9.909
angles (deg): 90.00 90.00 120.00
Atoms (fractional coordinates):
Se: 0.667 0.333 0.394
Se: 0.333 0.667 0.894
Se: 0.333 0.667 0.606
Se: 0.667 0.333 0.106
Zn: 0.000 0.000 0.750
Zn: 0.000 0.000 0.250

12.
A plane-wave DFT calculation with GGA-PBEsol was carried out for crystalline ZrZnSe2 at its relaxed geometry.

Results
Space-group type = Immm, No. 71

a b c (Å): 3.748 4.962 4.962
angles (deg): 60.85 67.82 67.82
Atoms (fractional coordinates):
Zr: 0.500 0.000 0.000
Se: 0.717 0.283 0.283
Se: 0.283 0.717 0.717
Zn: 0.000 0.500 0.500

13.
A plane-wave DFT calculation with GGA-PBEsol was carried out for crystalline ZrZn4Se at its relaxed geometry.

Results
Space-group type = F-43m, No. 216

a b c (Å): 5.164 5.164 5.164
angles (deg): 60.00 60.00 60.00
Atoms (fractional coordinates):
Se: 0.000 0.000 0.000
Zn: 0.624 0.128 0.624
Zn: 0.624 0.624 0.624
Zn: 0.128 0.624 0.624
Zn: 0.624 0.624 0.128
Zr: 0.250 0.250 0.250

14.
A plane-wave DFT calculation with GGA-PBEsol was carried out for crystalline ZrZnSe at its relaxed geometry.

Results
Space-group type = F-43m, No. 216

a b c (Å): 4.444 4.444 4.444
angles (deg): 60.00 60.00 60.00
Atoms (fractional coordinates):
Se: 0.500 0.500 0.500
Zn: 0.250 0.250 0.250
Zr: 0.000 0.000 0.000

15.
A plane-wave DFT calculation with GGA-PBEsol was carried out for crystalline ZrSe at its relaxed geometry.

Results
Space-group type = R-3m, No. 166

a b c (Å): 4.463 4.463 6.093
angles (deg): 68.51 68.51 60.00
Atoms (fractional coordinates):
Se: 0.602 0.602 0.195
Se: 0.398 0.398 0.805
Zr: 0.086 0.086 0.741
Zr: 0.914 0.914 0.259

16.
A plane-wave DFT calculation with GGA-PBEsol was carried out for crystalline Zr2Se at its relaxed geometry.

Results
Space-group type = I4/mmm, No. 139

a b c (Å): 3.312 3.312 5.994
angles (deg): 106.04 106.04 90.00
Atoms (fractional coordinates):
Zr: 0.147 0.147 0.293
Zr: 0.853 0.853 0.707
Se: 0.500 0.500 0.000

17.
A plane-wave DFT calculation with GGA-PBEsol was carried out for crystalline ZrSe4 at its relaxed geometry.

Results
Space-group type = I4/mmm, No. 139

a b c (Å): 5.448 5.615 5.448
angles (deg): 60.98 90.00 119.02
Last column: magnetic moment on the atom in μB.
Atoms (fractional coordinates):
Se: 0.250 0.500 0.250  -0.02
Se: 0.688 0.376 0.312  -0.01
Se: 0.312 0.624 0.688  -0.01
Se: 0.750 0.500 0.750  -0.02
Zr: 0.000 0.000 0.000  0.46

18.
A plane-wave DFT calculation with GGA-PBEsol was carried out for crystalline ZrSe3 at its relaxed geometry.

Results
Space-group type = P2/m, No. 10

a b c (Å): 3.796 5.122 5.290
angles (deg): 107.15 90.00 90.00
Atoms (fractional coordinates):
Se: 0.500 0.500 0.500
Se: 0.000 0.172 0.885
Se: 0.000 0.828 0.115
Zr: 0.500 0.000 0.500

19.
A plane-wave DFT calculation with GGA-PBEsol was carried out for crystalline Zr3Se at its relaxed geometry.

Results
Space-group type = Pnma, No. 62

a b c (Å): 5.606 6.642 8.600
angles (deg): 90.00 90.00 90.00
Atoms (fractional coordinates):
Zr: 0.629 0.200 0.541
Zr: 0.371 0.800 0.459
Zr: 0.871 0.700 0.541
Zr: 0.379 0.520 0.750
Zr: 0.121 0.020 0.750
Zr: 0.129 0.300 0.041
Zr: 0.871 0.700 0.959
Zr: 0.129 0.300 0.459
Zr: 0.879 0.980 0.250
Zr: 0.629 0.200 0.959
Zr: 0.621 0.480 0.250
Zr: 0.371 0.800 0.041
Se: 0.592 0.896 0.750
Se: 0.908 0.396 0.750
Se: 0.408 0.104 0.250
Se: 0.092 0.604 0.250

20.
A plane-wave DFT calculation with GGA-PBEsol was carried out for crystalline ZrSe2 at its relaxed geometry.

Results
Space-group type = P-3m1, No. 164

a b c (Å): 3.728 3.728 6.104
angles (deg): 90.00 90.00 120.00
Atoms (fractional coordinates):
Zr: 0.000 0.000 0.000
Se: 0.333 0.667 0.261
Se: 0.667 0.333 0.739

no.,calculated volume (Å³/atom),uncorrected formation energy (eV per atom)
1,23.4,-1.90
2,26.7,-1.20
3,27.8,-1.10
4,29.4,-0.18
5,25.7,-1.14
6,25.4,-1.44
7,27.0,-1.19
8,24.3,-0.84
9,23.6,-1.06
10,23.6,-1.02
11,20.1,-0.11
12,18.1,-0.64
13,16.2,-0.02
14,20.7,0.18
15,23.8,-0.47
16,20.2,-0.69
17,24.3,0.05
18,24.6,-0.83
19,20.0,-0.77
20,24.5,-1.34